## Ta4FeMo (PBE)

Data for Ta4FeMo after structural relaxation.

Output
ΔE to the lowest computed polymorph ... 0.000 eV/atom
Size of the total moment ... 0.439 μB per formula unit
Theoretical density ... 14.64 g cm⁻³
Formation energy from the elements ... -0.135 eV/atom
Final energy ... -11.252 eV per atom

Cell: 3.1885 3.1885 9.7694 Å, 90.00 90.00 90.00°
Space group P4/mmm (No. 123)
Asymmetric unit:
Ta 0.0000 0.0000 0.1529 (multiplicity 2)
Ta 0.5000 0.5000 0.3358 (multiplicity 2)
Fe 0.5000 0.5000 0.0000 (multiplicity 1)
Mo 0.0000 0.0000 0.5000 (multiplicity 1)

## Li5In4Hg2 (PBE)

Data for Li5In4Hg2 after structural relaxation.

Output
Size of the total moment ... 0.000 μB per formula unit
Theoretical density ... 6.72 g cm⁻³
Formation energy from the elements ... -0.285 eV/atom
Final energy ... -2.205 eV per atom

Cell: 7.6258 17.9430 3.2341 Å, 90.00 90.00 90.00°
Space group Pbam (No. 55)
Asymmetric unit:
Li 0.0000 0.0000 0.0000 (multiplicity 2)
Li 0.1402 0.4274 0.0000 (multiplicity 4)
Li 0.2494 0.7098 0.0000 (multiplicity 4)
In 0.0675 0.8562 0.5000 (multiplicity 4)
In 0.1958 0.5614 0.5000 (multiplicity 4)
Hg 0.0498 0.3050 0.5000 (multiplicity 4)

## AuClF2 (PBE)

Data for AuClF2 after structural relaxation.

Output
ΔE to the lowest computed polymorph ... 0.523 eV/atom
Size of the total moment ... 0.000 μB per formula unit
Theoretical density ... 6.98 g cm⁻³
Raw formation energy ... -0.25 eV/atom
Final energy ... -2.466 eV per atom

Cell: 2.9194 2.9194 26.1644 Å, 90.00 90.00 120.00°
Space group R-3m (No. 166, hexagonal axes)
Asymmetric unit:
Au 0.0000 0.0000 0.0000 (multiplicity 3)
Cl 0.0000 0.0000 0.5000 (multiplicity 3)
F 0.0000 0.0000 0.4319 (multiplicity 6)

## Nd2BeGa (PBE)

Data for Nd2BeGa after structural relaxation.

Output
ΔE to the lowest computed polymorph ... 0.689 eV/atom
Size of the total moment ... 0.000 μB per formula unit
Theoretical density ... 5.42 g cm⁻³
Formation energy from the elements ... 0.520 eV/atom
Final energy ... -3.552 eV per atom

Cell: 3.4976 3.4976 31.8591 Å, 90.00 90.00 120.00°
Space group R-3m (No. 166, hexagonal axes)
Asymmetric unit:
Nd 0.0000 0.0000 0.0946 (multiplicity 6)
Be 0.0000 0.0000 0.0000 (multiplicity 3)
Ga 0.0000 0.0000 0.5000 (multiplicity 3)

Question: The highest final energy belongs to which entry?
Answer: Li5In4Hg2

Question: size of the total moment of number 2 (Li5In4Hg2)?
Answer: 0.000 μB per formula unit